# NaS2Br SCAN single point on PBEsol structure
# ΔE_f (raw): 0.13 eV/atom
# energy: -10.61 eV per atom
data_NaS2Br
_cell_length_a 4.8218
_cell_length_b 4.8218
_cell_length_c 14.7069
_cell_angle_alpha 90.00
_cell_angle_beta 90.00
_cell_angle_gamma 120.00
_symmetry_space_group_name_H-M 'R -3 m'
_symmetry_Int_Tables_number 166
_symmetry_space_group_name_Hall '-R 3 2"'
loop_
_atom_site_label
_atom_site_type_symbol
_atom_site_fract_x
_atom_site_fract_y
_atom_site_fract_z
_atom_site_occupancy
Na1 Na 0.0000 0.0000 0.0000 1
S1 S 0.0000 0.0000 0.1798 1
Br1 Br 0.0000 0.0000 0.5000 1